This record from the Alexandria database describes an optimized crystal structure of Zn2HgW. The functional is PBE.

Unit cell a=2.7922 b=2.7922 c=8.6457 alpha=90.00 beta=90.00 gamma=90.00
With the nearest neighbours (Å) after each atom.
Sites, in units of the cell vectors:
Hg 0.0000 0.0000 0.5002  4 Hg 2.79, 4 W 3.06, 4 Zn 3.08
W 0.5000 0.5000 0.7712  4 W 2.79, 4 Zn 2.81, 4 Hg 3.06
Zn 0.0000 0.0000 0.0017  8 Zn 2.77-2.79, 4 W 2.81
Zn 0.5000 0.5000 0.2269  8 Zn 2.77-2.79, 4 Hg 3.08

Total energy: -3.53 eV/atom
Space group: P4mm
DOS at the Fermi energy: 2.14 states/eV/f.u.